No. 1
NaSn2Pd3 | PBE | optimized geometry

Computed properties:
As for the energy of formation from the pure elements: -0.47 eV/atom. The value obtained for the distance to the lowest polymorph of the same formula is 1.5 kJ/mol of atoms. For the total magnetization, the calculation gives 0.0 μB per formula unit.

Cell lengths 5.8134, 5.8134, 4.2797 Å; angles 90.00, 90.00, 120.00 degrees
Space group P6/mmm (No. 191)
Unique sites:
Na1 0.0000 0.0000 0.0000
Sn1 0.3333 0.6667 0.0000
Pd1 0.0000 0.5000 0.5000

***

No. 2
LaTb3HoTh | PBE | optimized geometry

Computed properties:
As for the energy of formation from the pure elements: 0.03 eV/atom. For the total magnetization, the calculation gives 0.0 μB per formula unit.

Cell lengths 8.035, 5.080, 10.198 Å; angles 90.00, 108.92, 90.00 degrees
Space group P2_1/m (No. 11)
Unique sites:
La1 0.170 0.250 0.293
Tb1 0.171 0.750 0.545
Tb2 0.177 0.750 0.043
Tb3 0.178 0.250 0.794
Ho1 0.499 0.250 0.629
Th1 0.499 0.750 0.878

***

No. 3
MgGaP2Cl | PBE | optimized geometry

Computed properties:
The value obtained for the distance to the lowest polymorph of the same formula is 0.0 kJ/mol of atoms. The uncorrected formation energy comes out at 277 meV/atom. For the total magnetization, the calculation gives 0.0 μB per formula unit.

Cell lengths 4.680, 4.680, 5.065 Å; angles 90.00, 90.00, 90.00 degrees
Space group P4/mmm (No. 123)
Unique sites:
Mg1 0.000 0.000 0.000
Ga1 0.500 0.500 0.500
P1 0.000 0.500 0.500
Cl1 0.500 0.500 0.000

***

No. 4
MgIrIO6 | PBE | optimized geometry

Computed properties:
The uncorrected formation energy comes out at -829 meV/atom. For the total magnetization, the calculation gives 0.0 μB per formula unit.

Cell lengths 5.2171, 5.2171, 8.6942 Å; angles 90.00, 90.00, 120.00 degrees
Space group P-31c (No. 163)
Unique sites:
Mg1 0.3333 0.6667 0.2500
Ir1 0.0000 0.0000 0.0000
I1 0.3333 0.6667 0.7500
O1 0.0019 0.3266 0.1244